The following is a GGA-PBE calculation of crystalline Co4AgP at its relaxed geometry, from Alexandria via LeMat-Bulk.

```
Co4AgP
1.0
0.000 3.395 3.395
3.395 0.000 3.395
3.395 3.395 0.000
Co Ag P
4 1 1
Direct
0.625 0.625 0.126 Co
0.625 0.126 0.625 Co
0.625 0.625 0.625 Co
0.126 0.625 0.625 Co
0.000 0.000 0.000 Ag
0.250 0.250 0.250 P
```

N(E_F) (states/eV per cell): 7.1
Space group: No. 216
Total energy (eV/atom): -5.6899

The following is a GGA-PBE calculation of crystalline K3Ag2F7 at its relaxed geometry, from Alexandria via LeMat-Bulk.

```
K3Ag2F7
1.0
-2.245 -3.584 1.302
-1.278 -0.716 -4.176
10.647 -4.020 -0.225
K Ag F
3 2 7
Direct
0.317 0.317 0.634 K
0.683 0.683 0.366 K
0.500 0.500 0.000 K
0.099 0.099 0.198 Ag
0.901 0.901 0.802 Ag
0.000 0.000 0.000 F
0.904 0.404 0.808 F
0.404 0.904 0.808 F
0.096 0.596 0.192 F
0.596 0.096 0.192 F
0.200 0.200 0.399 F
0.800 0.800 0.601 F
```

N(E_F) (states/eV per cell): 3.8
Space group: No. 139
Total energy (eV/atom): -3.8437
E_form (uncorrected) (kJ/mol of atoms): -193.2

The following is a GGA-PBE calculation of crystalline NbI5 at its relaxed geometry, from Alexandria via LeMat-Bulk.

```
NbI5
1.0
-2.288 4.184 -3.215
-3.573 -2.513 -5.870
-6.819 1.754 1.991
Nb I
1 5
Direct
0.000 0.000 0.000 Nb
0.910 0.362 0.817 I
0.500 0.000 0.000 I
0.090 0.638 0.183 I
0.273 0.817 0.638 I
0.727 0.183 0.362 I
```

Space group: No. 87
Total energy (eV/atom): -3.2701
E_form (uncorrected) (kJ/mol of atoms): -28.9

The following is a GGA-PBE calculation of crystalline Cs2RbWBr6 at its relaxed geometry, from Alexandria via LeMat-Bulk.

```
Cs2RbWBr6
1.0
8.292 0.000 0.000
0.000 8.292 0.000
4.146 4.146 5.863
Cs Br Rb W
2 6 1 1
Direct
0.750 0.250 0.500 Cs
0.250 0.750 0.500 Cs
0.222 0.222 0.556 Br
0.778 0.778 0.444 Br
0.222 0.222 0.000 Br
0.778 0.778 0.000 Br
0.778 0.222 0.000 Br
0.222 0.778 0.000 Br
0.500 0.500 0.000 Rb
0.000 0.000 0.000 W
```

N(E_F) (states/eV per cell): 0.0
Space group: No. 225
Total energy (eV/atom): -3.7419
E_form (uncorrected) (kJ/mol of atoms): -113.4

Number 4 is which compound? Cs2RbWBr6

What is the total energy in the third record? -3.2701 eV/atom

Among the records above, which one has the lowest total energy? Co4AgP

Repeat the third record exactly.
The following is a GGA-PBE calculation of crystalline NbI5 at its relaxed geometry, from Alexandria via LeMat-Bulk.

```
NbI5
1.0
-2.288 4.184 -3.215
-3.573 -2.513 -5.870
-6.819 1.754 1.991
Nb I
1 5
Direct
0.000 0.000 0.000 Nb
0.910 0.362 0.817 I
0.500 0.000 0.000 I
0.090 0.638 0.183 I
0.273 0.817 0.638 I
0.727 0.183 0.362 I
```

Space group: No. 87
Total energy (eV/atom): -3.2701
E_form (uncorrected) (kJ/mol of atoms): -28.9